i | First-principles (PBE-GGA) data for an optimized crystal structure of FeHS2, as listed in Alexandria.

The space group is I-42d (No. 122) and the conventional cell measures 4.801, 4.801 and 9.361 Å, with angles of 90.00, 90.00 and 90.00 degrees. The inequivalent atoms are Fe at (0.000, 0.000, 0.000), H at (0.000, 0.000, 0.500) and S at (0.236, 0.250, 0.625).


ii | First-principles (PBE-GGA) data for an optimized crystal structure of FeHS2, as listed in Alexandria.

The space group is Fm-3m (No. 225) and the conventional cell measures 5.519, 5.519 and 5.519 Å, with angles of 90.00, 90.00 and 90.00 degrees. The inequivalent atoms are Fe at (0.000, 0.000, 0.000), H at (0.000, 0.000, 0.500) and S at (0.250, 0.250, 0.250).


iii | First-principles (PBE-GGA) data for an optimized crystal structure of FeHS2, as listed in Alexandria.

The space group is R-3m (No. 166, hexagonal axes) and the conventional cell measures 3.3915, 3.3915 and 16.6372 Å, with angles of 90.00, 90.00 and 120.00 degrees. The inequivalent atoms are Fe at (0.0000, 0.0000, 0.0000), H at (0.0000, 0.0000, 0.5000) and S at (0.0000, 0.0000, 0.4020).


iv | First-principles (PBE-GGA) data for an optimized crystal structure of FeHS2, as listed in Alexandria.

The space group is R-3m (No. 166, hexagonal axes) and the conventional cell measures 2.8667, 2.8667 and 20.8113 Å, with angles of 90.00, 90.00 and 120.00 degrees. The inequivalent atoms are Fe at (0.0000, 0.0000, 0.0000), H at (0.0000, 0.0000, 0.5000) and S at (0.0000, 0.0000, 0.1015).


Most stable: iii


i | First-principles (PBE-GGA) data for an optimized crystal structure of FeH2S, as listed in Alexandria.

The space group is I4_1/amd (No. 141, origin choice 2) and the conventional cell measures 3.284, 3.284 and 13.048 Å, with angles of 90.00, 90.00 and 90.00 degrees. The inequivalent atoms are Fe at (0.000, 0.250, 0.375), H at (0.000, 0.000, 0.500) and S at (0.000, 0.250, 0.875).


ii | First-principles (PBE-GGA) data for an optimized crystal structure of FeH2S, as listed in Alexandria.

The space group is R-3m (No. 166, hexagonal axes) and the conventional cell measures 3.8611, 3.8611 and 7.9845 Å, with angles of 90.00, 90.00 and 120.00 degrees. The inequivalent atoms are Fe at (0.0000, 0.0000, 0.0000), H at (0.0000, 0.0000, 0.2020) and S at (0.0000, 0.0000, 0.5000).


Most stable: i


i | First-principles (PBE-GGA) data for an optimized crystal structure of FeSbH2, as listed in Alexandria.

The space group is I4_1/amd (No. 141, origin choice 2) and the conventional cell measures 4.204, 4.204 and 9.906 Å, with angles of 90.00, 90.00 and 90.00 degrees. The inequivalent atoms are Fe at (0.000, 0.250, 0.375), Sb at (0.000, 0.250, 0.875) and H at (0.000, 0.000, 0.500).


ii | First-principles (PBE-GGA) data for an optimized crystal structure of FeSbH2, as listed in Alexandria.

The space group is Fm-3m (No. 225) and the conventional cell measures 5.603, 5.603 and 5.603 Å, with angles of 90.00, 90.00 and 90.00 degrees. The inequivalent atoms are Fe at (0.000, 0.000, 0.000), Sb at (0.000, 0.000, 0.500) and H at (0.250, 0.250, 0.250).


Most stable: i


i | First-principles (PBE-GGA) data for an optimized crystal structure of Fe3SbH, as listed in Alexandria.

The space group is Pm-3m (No. 221) and the conventional cell measures 4.925, 4.925 and 4.925 Å, with angles of 90.00, 90.00 and 90.00 degrees. The inequivalent atoms are Fe at (0.000, 0.000, 0.500), Sb at (0.000, 0.000, 0.000) and H at (0.500, 0.500, 0.500).


ii | First-principles (PBE-GGA) data for an optimized crystal structure of Fe3SbH, as listed in Alexandria.

The space group is Pm-3m (No. 221) and the conventional cell measures 3.848, 3.848 and 3.848 Å, with angles of 90.00, 90.00 and 90.00 degrees. The inequivalent atoms are Fe at (0.000, 0.000, 0.500), Sb at (0.500, 0.500, 0.500) and H at (0.000, 0.000, 0.000).


Most stable: ii


i | First-principles (PBE-GGA) data for an optimized crystal structure of FeSbTe2H, as listed in Alexandria.

The space group is P4/mmm (No. 123) and the conventional cell measures 5.077, 5.077 and 3.826 Å, with angles of 90.00, 90.00 and 90.00 degrees. The inequivalent atoms are Fe at (0.000, 0.000, 0.000), Sb at (0.500, 0.500, 0.000), Te at (0.000, 0.500, 0.500) and H at (0.500, 0.500, 0.500).


ii | First-principles (PBE-GGA) data for an optimized crystal structure of FeSbTe2H, as listed in Alexandria.

The space group is P4/mmm (No. 123) and the conventional cell measures 5.043, 5.043 and 4.850 Å, with angles of 90.00, 90.00 and 90.00 degrees. The inequivalent atoms are Fe at (0.000, 0.000, 0.000), Sb at (0.000, 0.000, 0.500), Te at (0.000, 0.500, 0.000) and H at (0.500, 0.500, 0.500).


Most stable: ii


i | First-principles (PBE-GGA) data for an optimized crystal structure of FeSb2TeH, as listed in Alexandria.

The space group is P4/mmm (No. 123) and the conventional cell measures 4.293, 4.293 and 5.283 Å, with angles of 90.00, 90.00 and 90.00 degrees. The inequivalent atoms are Fe at (0.000, 0.000, 0.000), Sb at (0.000, 0.500, 0.500), Te at (0.500, 0.500, 0.000) and H at (0.500, 0.500, 0.500).


ii | First-principles (PBE-GGA) data for an optimized crystal structure of FeSb2TeH, as listed in Alexandria.

The space group is P4/mmm (No. 123) and the conventional cell measures 4.932, 4.932 and 5.115 Å, with angles of 90.00, 90.00 and 90.00 degrees. The inequivalent atoms are Fe at (0.000, 0.000, 0.000), Sb at (0.000, 0.500, 0.000), Te at (0.000, 0.000, 0.500) and H at (0.500, 0.500, 0.500).


Most stable: ii


i | First-principles (PBE-GGA) data for an optimized crystal structure of Sc2FeH, as listed in Alexandria.

The space group is Fm-3m (No. 225) and the conventional cell measures 6.121, 6.121 and 6.121 Å, with angles of 90.00, 90.00 and 90.00 degrees. The inequivalent atoms are Sc at (0.250, 0.250, 0.250), Fe at (0.000, 0.000, 0.000) and H at (0.000, 0.000, 0.500).


ii | First-principles (PBE-GGA) data for an optimized crystal structure of Sc2FeH, as listed in Alexandria.

The space group is I-42d (No. 122) and the conventional cell measures 6.054, 6.054 and 6.508 Å, with angles of 90.00, 90.00 and 90.00 degrees. The inequivalent atoms are Sc at (0.172, 0.250, 0.125), Fe at (0.000, 0.000, 0.500) and H at (0.000, 0.000, 0.000).


Most stable: ii


i | First-principles (PBE-GGA) data for an optimized crystal structure of Fe2HSe, as listed in Alexandria.

The space group is Fm-3m (No. 225) and the conventional cell measures 5.445, 5.445 and 5.445 Å, with angles of 90.00, 90.00 and 90.00 degrees. The inequivalent atoms are Fe at (0.250, 0.250, 0.250), H at (0.000, 0.000, 0.000) and Se at (0.000, 0.000, 0.500).


ii | First-principles (PBE-GGA) data for an optimized crystal structure of Fe2HSe, as listed in Alexandria.

The space group is I-42d (No. 122) and the conventional cell measures 4.470, 4.470 and 9.584 Å, with angles of 90.00, 90.00 and 90.00 degrees. The inequivalent atoms are Fe at (0.117, 0.250, 0.125), H at (0.000, 0.000, 0.000) and Se at (0.000, 0.000, 0.500).


Most stable: ii


i | First-principles (PBE-GGA) data for an optimized crystal structure of FeSiH, as listed in Alexandria.

The space group is Pm (No. 6) and the conventional cell measures 2.864, 2.555 and 3.795 Å, with angles of 90.00, 111.29 and 90.00 degrees. The inequivalent atoms are Fe at (0.000, 0.000, 0.000), Si at (0.307, 0.500, 0.597) and H at (0.743, 0.500, 0.148).


ii | First-principles (PBE-GGA) data for an optimized crystal structure of FeSiH, as listed in Alexandria.

The space group is Cm (No. 8) and the conventional cell measures 5.076, 2.921 and 3.466 Å, with angles of 90.00, 90.00 and 90.00 degrees. The inequivalent atoms are Fe at (0.000, 0.000, 0.000), Si at (0.167, 0.500, 0.499) and H at (0.333, 0.000, 0.986).


iii | First-principles (PBE-GGA) data for an optimized crystal structure of FeSiH, as listed in Alexandria.

The space group is R3m (No. 160, hexagonal axes) and the conventional cell measures 2.7753, 2.7753 and 12.0651 Å, with angles of 90.00, 90.00 and 120.00 degrees. The inequivalent atoms are Fe at (0.0000, 0.0000, 0.0000), Si at (0.0000, 0.0000, 0.1953) and H at (0.0000, 0.0000, 0.3934).


iv | First-principles (PBE-GGA) data for an optimized crystal structure of FeSiH, as listed in Alexandria.

The space group is P-1 (No. 2) and the conventional cell measures 2.795, 2.795 and 10.265 Å, with angles of 90.23, 97.23 and 119.99 degrees. The inequivalent atoms are Fe at (0.226, 0.364, 0.094), Si at (0.011, 0.252, 0.752) and H at (0.081, 0.796, 0.396).


Most stable: ii


i | First-principles (PBE-GGA) data for an optimized crystal structure of SrFe3H, as listed in Alexandria.

The space group is Pm-3m (No. 221) and the conventional cell measures 4.937, 4.937 and 4.937 Å, with angles of 90.00, 90.00 and 90.00 degrees. The inequivalent atoms are Sr at (0.000, 0.000, 0.000), Fe at (0.000, 0.000, 0.500) and H at (0.500, 0.500, 0.500).


ii | First-principles (PBE-GGA) data for an optimized crystal structure of SrFe3H, as listed in Alexandria.

The space group is Pm-3m (No. 221) and the conventional cell measures 4.082, 4.082 and 4.082 Å, with angles of 90.00, 90.00 and 90.00 degrees. The inequivalent atoms are Sr at (0.000, 0.000, 0.000), Fe at (0.000, 0.500, 0.500) and H at (0.500, 0.500, 0.500).


Most stable: ii


i | First-principles (PBE-GGA) data for an optimized crystal structure of SrFeH2, as listed in Alexandria.

The space group is I-42d (No. 122) and the conventional cell measures 5.258, 5.258 and 7.227 Å, with angles of 90.00, 90.00 and 90.00 degrees. The inequivalent atoms are Sr at (0.000, 0.000, 0.000), Fe at (0.000, 0.000, 0.500) and H at (0.124, 0.750, 0.625).


ii | First-principles (PBE-GGA) data for an optimized crystal structure of SrFeH2, as listed in Alexandria.

The space group is Fm-3m (No. 225) and the conventional cell measures 6.130, 6.130 and 6.130 Å, with angles of 90.00, 90.00 and 90.00 degrees. The inequivalent atoms are Sr at (0.000, 0.000, 0.000), Fe at (0.000, 0.000, 0.500) and H at (0.250, 0.250, 0.250).


Most stable: i


i | First-principles (PBE-GGA) data for an optimized crystal structure of Ta2FeH, as listed in Alexandria.

The space group is Fm-3m (No. 225) and the conventional cell measures 5.936, 5.936 and 5.936 Å, with angles of 90.00, 90.00 and 90.00 degrees. The inequivalent atoms are Ta at (0.250, 0.250, 0.250), Fe at (0.000, 0.000, 0.000) and H at (0.000, 0.000, 0.500).


ii | First-principles (PBE-GGA) data for an optimized crystal structure of Ta2FeH, as listed in Alexandria.

The space group is I-42d (No. 122) and the conventional cell measures 5.798, 5.798 and 6.119 Å, with angles of 90.00, 90.00 and 90.00 degrees. The inequivalent atoms are Ta at (0.191, 0.250, 0.125), Fe at (0.000, 0.000, 0.500) and H at (0.000, 0.000, 0.000).


Most stable: ii